# MgPd3Pt3 (PBE, optimized geometry)
# offset from the most stable computed form = 0 meV per atom
# E_form = -277 meV per atom
# calculated total energy = -5.32 eV per atom
# M_tot = 0.000 μB per atom
# DOS(E_F) = 24.055 states/eV per cell
data_MgPd3Pt3
_space_group_name_H-M_alt 'P 63/m'
_space_group_IT_number 176
_space_group_name_Hall '-P 6c'
_cell_length_a 7.3878
_cell_length_b 7.3878
_cell_length_c 4.6278
_cell_angle_alpha 90.00
_cell_angle_beta 90.00
_cell_angle_gamma 120.00
loop_
_atom_site_label
_atom_site_type_symbol
_atom_site_fract_x
_atom_site_fract_y
_atom_site_fract_z
_atom_site_occupancy
Mg1 Mg 0.3333 0.6667 0.2500 1
Pd1 Pd 0.0472 0.2414 0.2500 1
Pt1 Pt 0.0886 0.4689 0.7500 1

# Ti2Cu (PBE, optimized geometry)
# E_form = -119 meV per atom
# calculated total energy = -6.75 eV per atom
# M_tot = 0.000 μB per atom
# DOS(E_F) = 5.886 states/eV per cell
data_Ti2Cu
_space_group_name_H-M_alt 'F m m m'
_space_group_IT_number 69
_space_group_name_Hall '-F 2 2'
_cell_length_a 4.1369
_cell_length_b 4.1445
_cell_length_c 10.8168
_cell_angle_alpha 90.00
_cell_angle_beta 90.00
_cell_angle_gamma 90.00
loop_
_atom_site_label
_atom_site_type_symbol
_atom_site_fract_x
_atom_site_fract_y
_atom_site_fract_z
_atom_site_occupancy
Ti1 Ti 0.0000 0.0000 0.1624 1
Cu1 Cu 0.0000 0.0000 0.5000 1

# HfPaCdO6 (PBE, optimized geometry)
# calculated total energy = -8.25 eV per atom
# M_tot = 0.101 μB per atom
# DOS(E_F) = 17.679 states/eV per cell
data_HfPaCdO6
_space_group_name_H-M_alt 'P 42 n m'
_space_group_IT_number 102
_space_group_name_Hall 'P 4n -2n'
_cell_length_a 5.0898
_cell_length_b 5.0898
_cell_length_c 10.1453
_cell_angle_alpha 90.00
_cell_angle_beta 90.00
_cell_angle_gamma 90.00
loop_
_atom_site_label
_atom_site_type_symbol
_atom_site_fract_x
_atom_site_fract_y
_atom_site_fract_z
_atom_site_occupancy
Hf1 Hf 0.0000 0.0000 0.0000 1
Pa1 Pa 0.0000 0.0000 0.6665 1
Cd1 Cd 0.0000 0.0000 0.3343 1
O1 O 0.1813 0.1813 0.8390 1
O2 O 0.1974 0.1974 0.1521 1
O3 O 0.2095 0.2095 0.5118 1

# Pm4Pr3Ho3 (PBE, optimized geometry)
# E_form = 114 meV per atom
# calculated total energy = -4.59 eV per atom
# M_tot = 0.000 μB per atom
# DOS(E_F) = 19.176 states/eV per cell
data_Pm4Pr3Ho3
_space_group_name_H-M_alt 'A m m 2'
_space_group_IT_number 38
_space_group_name_Hall 'A 2 -2'
_cell_length_a 3.7967
_cell_length_b 13.3833
_cell_length_c 13.5217
_cell_angle_alpha 90.00
_cell_angle_beta 90.00
_cell_angle_gamma 90.00
loop_
_atom_site_label
_atom_site_type_symbol
_atom_site_fract_x
_atom_site_fract_y
_atom_site_fract_z
_atom_site_occupancy
Pm1 Pm 0.0000 0.0000 0.0000 1
Pm2 Pm 0.0000 0.0000 0.2618 1
Pm3 Pm 0.0000 0.1286 0.6345 1
Pr1 Pr 0.5000 0.0000 0.4611 1
Pr2 Pr 0.5000 0.1708 0.1312 1
Ho1 Ho 0.0000 0.2457 0.8805 1
Ho2 Ho 0.5000 0.0000 0.8030 1

# Ca4CdHg2 (PBE, optimized geometry)
# E_form = -398 meV per atom
# calculated total energy = -1.76 eV per atom
# M_tot = 0.000 μB per atom
# DOS(E_F) = 11.182 states/eV per cell
data_Ca4CdHg2
_space_group_name_H-M_alt 'R -3 m'
_space_group_IT_number 166
_space_group_name_Hall '-R 3 2"'
_cell_length_a 5.3736
_cell_length_b 5.3736
_cell_length_c 25.7967
_cell_angle_alpha 90.00
_cell_angle_beta 90.00
_cell_angle_gamma 120.00
loop_
_atom_site_label
_atom_site_type_symbol
_atom_site_fract_x
_atom_site_fract_y
_atom_site_fract_z
_atom_site_occupancy
Ca1 Ca 0.0000 0.0000 0.1226 1
Ca2 Ca 0.0000 0.0000 0.3739 1
Cd1 Cd 0.0000 0.0000 0.5000 1
Hg1 Hg 0.0000 0.0000 0.2493 1

# Sc2InCoGe (PBE, optimized geometry)
# E_form = -265 meV per atom
# calculated total energy = -5.69 eV per atom
# M_tot = 0.000 μB per atom
# DOS(E_F) = 4.428 states/eV per cell
data_Sc2InCoGe
_space_group_name_H-M_alt 'P 4/m m m'
_space_group_IT_number 123
_space_group_name_Hall '-P 4 2'
_cell_length_a 4.8432
_cell_length_b 4.8432
_cell_length_c 4.4535
_cell_angle_alpha 90.00
_cell_angle_beta 90.00
_cell_angle_gamma 90.00
loop_
_atom_site_label
_atom_site_type_symbol
_atom_site_fract_x
_atom_site_fract_y
_atom_site_fract_z
_atom_site_occupancy
Sc1 Sc 0.0000 0.5000 0.0000 1
In1 In 0.0000 0.0000 0.5000 1
Co1 Co 0.5000 0.5000 0.0000 1
Ge1 Ge 0.5000 0.5000 0.5000 1

# La2HoHg2 (PBE, optimized geometry)
# offset from the most stable computed form = 0 meV per atom
# E_form = -370 meV per atom
# calculated total energy = -3.38 eV per atom
# M_tot = 0.000 μB per atom
# DOS(E_F) = 19.534 states/eV per cell
data_La2HoHg2
_space_group_name_H-M_alt 'C m c m'
_space_group_IT_number 63
_space_group_name_Hall '-C 2c 2'
_cell_length_a 3.7111
_cell_length_b 29.1735
_cell_length_c 5.4123
_cell_angle_alpha 90.00
_cell_angle_beta 90.00
_cell_angle_gamma 90.00
loop_
_atom_site_label
_atom_site_type_symbol
_atom_site_fract_x
_atom_site_fract_y
_atom_site_fract_z
_atom_site_occupancy
La1 La 0.0000 0.0428 0.2500 1
La2 La 0.0000 0.2338 0.2500 1
Ho1 Ho 0.0000 0.1478 0.7500 1
Hg1 Hg 0.0000 0.3607 0.7500 1
Hg2 Hg 0.0000 0.4401 0.2500 1

# CuPb3W (PBE, optimized geometry)
# offset from the most stable computed form = 344 meV per atom
# E_form = 1289 meV per atom
# calculated total energy = -4.35 eV per atom
# M_tot = 0.774 μB per atom
# DOS(E_F) = 3.121 states/eV per cell
data_CuPb3W
_space_group_name_H-M_alt 'P m -3 m'
_space_group_IT_number 221
_space_group_name_Hall '-P 4 2 3'
_cell_length_a 5.1793
_cell_length_b 5.1793
_cell_length_c 5.1793
_cell_angle_alpha 90.00
_cell_angle_beta 90.00
_cell_angle_gamma 90.00
loop_
_atom_site_label
_atom_site_type_symbol
_atom_site_fract_x
_atom_site_fract_y
_atom_site_fract_z
_atom_site_occupancy
Cu1 Cu 0.0000 0.0000 0.0000 1
Pb1 Pb 0.0000 0.0000 0.5000 1
W1 W 0.5000 0.5000 0.5000 1

# UTi2C (PBE, optimized geometry)
# E_form = -296 meV per atom
# calculated total energy = -9.37 eV per atom
# M_tot = 0.640 μB per atom
# DOS(E_F) = 20.667 states/eV per cell
data_UTi2C
_space_group_name_H-M_alt 'R -3 m'
_space_group_IT_number 166
_space_group_name_Hall '-R 3 2"'
_cell_length_a 3.0244
_cell_length_b 3.0244
_cell_length_c 23.6795
_cell_angle_alpha 90.00
_cell_angle_beta 90.00
_cell_angle_gamma 120.00
loop_
_atom_site_label
_atom_site_type_symbol
_atom_site_fract_x
_atom_site_fract_y
_atom_site_fract_z
_atom_site_occupancy
U1 U 0.0000 0.0000 0.0000 1
Ti1 Ti 0.0000 0.0000 0.2168 1
C1 C 0.0000 0.0000 0.5000 1

# Pm3Nd6SmHo2 (PBE, optimized geometry)
# E_form = 13 meV per atom
# calculated total energy = -4.71 eV per atom
# M_tot = 0.000 μB per atom
# DOS(E_F) = 32.816 states/eV per cell
data_Pm3Nd6SmHo2
_space_group_name_H-M_alt 'C 1 2/m 1'
_space_group_IT_number 12
_space_group_name_Hall '-C 2y'
_cell_length_a 6.3194
_cell_length_b 10.9467
_cell_length_c 12.0389
_cell_angle_alpha 90.00
_cell_angle_beta 100.08
_cell_angle_gamma 90.00
loop_
_atom_site_label
_atom_site_type_symbol
_atom_site_fract_x
_atom_site_fract_y
_atom_site_fract_z
_atom_site_occupancy
Pm1 Pm 0.0000 0.0000 0.0000 1
Pm2 Pm 0.0000 0.3332 0.0000 1
Nd1 Nd 0.2491 0.0000 0.7474 1
Nd2 Nd 0.2499 0.1670 0.2525 1
Sm1 Sm 0.0000 0.5000 0.5000 1
Ho1 Ho 0.0000 0.1666 0.5000 1

# Ba2Cd3Ge (PBE, optimized geometry)
# offset from the most stable computed form = 3 meV per atom
# E_form = -374 meV per atom
# calculated total energy = -2.24 eV per atom
# M_tot = 0.000 μB per atom
# DOS(E_F) = 3.391 states/eV per cell
data_Ba2Cd3Ge
_space_group_name_H-M_alt 'P m m 2'
_space_group_IT_number 25
_space_group_name_Hall 'P 2 -2'
_cell_length_a 4.7811
_cell_length_b 4.8024
_cell_length_c 8.6831
_cell_angle_alpha 90.00
_cell_angle_beta 90.00
_cell_angle_gamma 90.00
loop_
_atom_site_label
_atom_site_type_symbol
_atom_site_fract_x
_atom_site_fract_y
_atom_site_fract_z
_atom_site_occupancy
Ba1 Ba 0.0000 0.0000 0.0000 1
Ba2 Ba 0.5000 0.0000 0.4619 1
Cd1 Cd 0.0000 0.5000 0.3068 1
Cd2 Cd 0.0000 0.5000 0.6436 1
Cd3 Cd 0.5000 0.5000 0.8303 1
Ge1 Ge 0.5000 0.5000 0.1474 1

# Ge5AsIr2 (PBE, optimized geometry)
# E_form = 21 meV per atom
# calculated total energy = -5.66 eV per atom
# M_tot = 0.000 μB per atom
# DOS(E_F) = 5.904 states/eV per cell
data_Ge5AsIr2
_space_group_name_H-M_alt 'C 1 2/m 1'
_space_group_IT_number 12
_space_group_name_Hall '-C 2y'
_cell_length_a 13.1889
_cell_length_b 7.4049
_cell_length_c 2.9978
_cell_angle_alpha 90.00
_cell_angle_beta 91.99
_cell_angle_gamma 90.00
loop_
_atom_site_label
_atom_site_type_symbol
_atom_site_fract_x
_atom_site_fract_y
_atom_site_fract_z
_atom_site_occupancy
Ge1 Ge 0.0000 0.0000 0.0000 1
Ge2 Ge 0.1594 0.2885 0.2375 1
As1 As 0.0000 0.5000 0.0000 1
Ir1 Ir 0.1790 0.0000 0.7407 1

# Pm2Pb2O (PBE, optimized geometry)
# calculated total energy = -5.63 eV per atom
# M_tot = 0.000 μB per atom
# DOS(E_F) = 14.468 states/eV per cell
data_Pm2Pb2O
_space_group_name_H-M_alt 'C m c 21'
_space_group_IT_number 36
_space_group_name_Hall 'C 2c -2'
_cell_length_a 3.7939
_cell_length_b 16.6466
_cell_length_c 8.6723
_cell_angle_alpha 90.00
_cell_angle_beta 90.00
_cell_angle_gamma 90.00
loop_
_atom_site_label
_atom_site_type_symbol
_atom_site_fract_x
_atom_site_fract_y
_atom_site_fract_z
_atom_site_occupancy
Pm1 Pm 0.0000 0.0367 0.0000 1
Pm2 Pm 0.0000 0.3674 0.8227 1
Pb1 Pb 0.0000 0.2815 0.4836 1
Pb2 Pb 0.0000 0.3899 0.1909 1
O1 O 0.0000 0.0636 0.2755 1

# LaPm2OsN4 (PBE, optimized geometry)
# calculated total energy = -8.23 eV per atom
# M_tot = 0.000 μB per atom
# DOS(E_F) = 11.112 states/eV per cell
data_LaPm2OsN4
_space_group_name_H-M_alt 'C m c m'
_space_group_IT_number 63
_space_group_name_Hall '-C 2c 2'
_cell_length_a 3.5170
_cell_length_b 12.0661
_cell_length_c 12.0645
_cell_angle_alpha 90.00
_cell_angle_beta 90.00
_cell_angle_gamma 90.00
loop_
_atom_site_label
_atom_site_type_symbol
_atom_site_fract_x
_atom_site_fract_y
_atom_site_fract_z
_atom_site_occupancy
La1 La 0.0000 0.1168 0.2500 1
Pm1 Pm 0.0000 0.3683 0.0414 1
Os1 Os 0.0000 0.1497 0.7500 1
N1 N 0.0000 0.0000 0.0000 1
N2 N 0.0000 0.2704 0.6331 1
N3 N 0.0000 0.4279 0.2500 1

# OsSe2BrN (PBE, optimized geometry)
# offset from the most stable computed form = 1163 meV per atom
# calculated total energy = -3.94 eV per atom
# M_tot = 0.000 μB per atom
# DOS(E_F) = 4.511 states/eV per cell
data_OsSe2BrN
_space_group_name_H-M_alt 'P 4/m m m'
_space_group_IT_number 123
_space_group_name_Hall '-P 4 2'
_cell_length_a 4.3871
_cell_length_b 4.3871
_cell_length_c 4.2579
_cell_angle_alpha 90.00
_cell_angle_beta 90.00
_cell_angle_gamma 90.00
loop_
_atom_site_label
_atom_site_type_symbol
_atom_site_fract_x
_atom_site_fract_y
_atom_site_fract_z
_atom_site_occupancy
Os1 Os 0.0000 0.0000 0.0000 1
Se1 Se 0.0000 0.5000 0.5000 1
Br1 Br 0.5000 0.5000 0.0000 1
N1 N 0.5000 0.5000 0.5000 1

# SmThBi2 (PBE, optimized geometry)
# offset from the most stable computed form = 0 meV per atom
# E_form = -755 meV per atom
# calculated total energy = -5.73 eV per atom
# M_tot = 0.000 μB per atom
# DOS(E_F) = 7.161 states/eV per cell
data_SmThBi2
_space_group_name_H-M_alt 'I 41/a m d'
_space_group_IT_number 141
_cell_length_a 6.4801
_cell_length_b 6.4801
_cell_length_c 12.9342
_cell_angle_alpha 90.00
_cell_angle_beta 90.00
_cell_angle_gamma 90.00
loop_
_space_group_symop_operation_xyz
'x,y,z'
'-x,-y,-z'
'-y+1/4,x+3/4,z+1/4'
'y+1/4,-x+3/4,-z+1/4'
'-x+1/2,-y,z+1/2'
'x+1/2,y,-z+1/2'
'y+1/4,-x+1/4,z+3/4'
'-y+1/4,x+1/4,-z+3/4'
'x,-y,-z'
'-x,y,z'
'-y+1/4,-x+1/4,-z+3/4'
'y+1/4,x+1/4,z+3/4'
'-x+1/2,y,-z+1/2'
'x+1/2,-y,z+1/2'
'y+1/4,x+3/4,-z+1/4'
'-y+1/4,-x+3/4,z+1/4'
'x+1/2,y+1/2,z+1/2'
'-x+1/2,-y+1/2,-z+1/2'
'-y+3/4,x+1/4,z+3/4'
'y+3/4,-x+1/4,-z+3/4'
'-x,-y+1/2,z'
'x,y+1/2,-z'
'y+3/4,-x+3/4,z+1/4'
'-y+3/4,x+3/4,-z+1/4'
'x+1/2,-y+1/2,-z+1/2'
'-x+1/2,y+1/2,z+1/2'
'-y+3/4,-x+3/4,-z+1/4'
'y+3/4,x+3/4,z+1/4'
'-x,y+1/2,-z'
'x,-y+1/2,z'
'y+3/4,x+1/4,-z+3/4'
'-y+3/4,-x+1/4,z+3/4'
loop_
_atom_site_label
_atom_site_type_symbol
_atom_site_fract_x
_atom_site_fract_y
_atom_site_fract_z
_atom_site_occupancy
Sm1 Sm 0.0000 0.2500 0.3750 1
Th1 Th 0.0000 0.2500 0.8750 1
Bi1 Bi 0.0000 0.2500 0.1258 1

# ThTc5P3 (PBE, optimized geometry)
# E_form = -490 meV per atom
# calculated total energy = -8.88 eV per atom
# M_tot = 0.000 μB per atom
# DOS(E_F) = 30.364 states/eV per cell
data_ThTc5P3
_space_group_name_H-M_alt 'C m c m'
_space_group_IT_number 63
_space_group_name_Hall '-C 2c 2'
_cell_length_a 3.9887
_cell_length_b 12.6051
_cell_length_c 11.6837
_cell_angle_alpha 90.00
_cell_angle_beta 90.00
_cell_angle_gamma 90.00
loop_
_atom_site_label
_atom_site_type_symbol
_atom_site_fract_x
_atom_site_fract_y
_atom_site_fract_z
_atom_site_occupancy
Th1 Th 0.0000 0.1730 0.2500 1
Tc1 Tc 0.0000 0.0000 0.0000 1
Tc2 Tc 0.0000 0.1959 0.5664 1
Tc3 Tc 0.0000 0.4559 0.1483 1
P1 P 0.0000 0.1267 0.7500 1
P2 P 0.0000 0.3762 0.5476 1

# BaAlSe3 (PBE, optimized geometry)
# offset from the most stable computed form = 1466 meV per atom
# calculated total energy = -2.94 eV per atom
# M_tot = 0.600 μB per atom
# DOS(E_F) = 4.549 states/eV per cell
data_BaAlSe3
_space_group_name_H-M_alt 'P m -3 m'
_space_group_IT_number 221
_space_group_name_Hall '-P 4 2 3'
_cell_length_a 6.1998
_cell_length_b 6.1998
_cell_length_c 6.1998
_cell_angle_alpha 90.00
_cell_angle_beta 90.00
_cell_angle_gamma 90.00
loop_
_atom_site_label
_atom_site_type_symbol
_atom_site_fract_x
_atom_site_fract_y
_atom_site_fract_z
_atom_site_occupancy
Ba1 Ba 0.0000 0.0000 0.0000 1
Al1 Al 0.5000 0.5000 0.5000 1
Se1 Se 0.0000 0.0000 0.5000 1

# Cs3Er2HfTe6 (PBE, optimized geometry)
# calculated total energy = -4.55 eV per atom
# M_tot = 0.000 μB per atom
# DOS(E_F) = 9.125 states/eV per cell
data_Cs3Er2HfTe6
_space_group_name_H-M_alt 'C 1 2/m 1'
_space_group_IT_number 12
_space_group_name_Hall '-C 2y'
_cell_length_a 7.6461
_cell_length_b 13.2432
_cell_length_c 9.2911
_cell_angle_alpha 90.00
_cell_angle_beta 105.93
_cell_angle_gamma 90.00
loop_
_atom_site_label
_atom_site_type_symbol
_atom_site_fract_x
_atom_site_fract_y
_atom_site_fract_z
_atom_site_occupancy
Cs1 Cs 0.0000 0.0000 0.0000 1
Cs2 Cs 0.0000 0.3290 0.0000 1
Er1 Er 0.0000 0.1661 0.5000 1
Hf1 Hf 0.0000 0.5000 0.5000 1
Te1 Te 0.2222 0.3399 0.6864 1
Te2 Te 0.2430 0.0000 0.6882 1

# CaSiPt2Pb (PBE, optimized geometry)
# calculated total energy = -4.83 eV per atom
# M_tot = 0.000 μB per atom
# DOS(E_F) = 2.452 states/eV per cell
data_CaSiPt2Pb
_space_group_name_H-M_alt 'P 4/m m m'
_space_group_IT_number 123
_space_group_name_Hall '-P 4 2'
_cell_length_a 4.6865
_cell_length_b 4.6865
_cell_length_c 5.2840
_cell_angle_alpha 90.00
_cell_angle_beta 90.00
_cell_angle_gamma 90.00
loop_
_atom_site_label
_atom_site_type_symbol
_atom_site_fract_x
_atom_site_fract_y
_atom_site_fract_z
_atom_site_occupancy
Ca1 Ca 0.0000 0.0000 0.0000 1
Si1 Si 0.0000 0.0000 0.5000 1
Pt1 Pt 0.0000 0.5000 0.5000 1
Pb1 Pb 0.5000 0.5000 0.0000 1